one.
First-principles (GGA-PBE) data for SrNbCd after structural relaxation, as listed in OQMD via LeMat-Bulk.

Cell and atoms, written as extended XYZ:
```
3
Lattice="-1.174 -3.550 -3.759 -5.034 -1.467 -0.781 -2.557 1.530 -4.385" Properties=species:S:1:pos:R:3 pbc="T T T"
Cd -2.191 -0.872 -2.231
Sr 0.000 0.000 0.000
Nb -6.574 -2.615 -6.694
```

Properties
For the mass density, the calculation gives 4.6 g/cm3. The crystal system is cubic. Its volume is 35.12 Å³ per atom.

---

two.
First-principles (GGA-PBE) data for SrNbCd after structural relaxation, as listed in OQMD via LeMat-Bulk.

Cell and atoms, written as extended XYZ:
```
3
Lattice="0.000 3.635 3.635 3.635 0.000 3.635 3.635 3.635 0.000" Properties=species:S:1:pos:R:3 pbc="T T T"
Sr 5.453 5.453 5.453
Cd 1.818 1.818 1.818
Nb 0.000 0.000 0.000
```

Properties
For the mass density, the calculation gives 5.1 g/cm3. The crystal system is cubic. Its volume is 32.03 Å³ per atom.

---

Tell me which of them is the most stable. Sure, it is two.

---

one.
First-principles (GGA-PBE) data for NbCdTe after structural relaxation, as listed in OQMD via LeMat-Bulk.

Cell and atoms, written as extended XYZ:
```
3
Lattice="0.810 2.131 4.162 2.708 3.893 0.185 -1.967 4.217 0.929" Properties=species:S:1:pos:R:3 pbc="T T T"
Te 1.163 7.681 3.957
Nb 0.000 0.000 0.000
Cd 0.388 2.560 1.319
```

Properties
For the mass density, the calculation gives 7.3 g/cm3. The crystal system is cubic. Its volume is 25.19 Å³ per atom.

---

two.
First-principles (GGA-PBE) data for NbCdTe after structural relaxation, as listed in OQMD via LeMat-Bulk.

Cell and atoms, written as extended XYZ:
```
3
Lattice="1.309 -3.646 -2.733 -1.931 -4.278 0.670 -3.018 -1.766 -3.201" Properties=species:S:1:pos:R:3 pbc="T T T"
Cd -1.820 -4.845 -2.632
Te -0.910 -2.422 -1.316
Nb 0.000 0.000 0.000
```

Properties
For the mass density, the calculation gives 7.3 g/cm3. The crystal system is cubic. Its volume is 25.11 Å³ per atom.

---

Tell me which of them is the most stable. Sure, it is one.